Compound: NdYMg3
Source: Alexandria via LeMat-Bulk
Functional: PBE
Structure: relaxed

Output
DOS(E_F) ... 5.22 states/eV/f.u.
Spin magnetization ... 0.0 μB per cell
VASP energy ... -65.2 eV per cell

Unit cell a=11.443 b=11.443 c=5.256 alpha=103.26 beta=103.26 gamma=55.77
Fractional coordinates of all 20 atoms:
Nd 0.073 0.324 0.449
Nd 0.324 0.073 0.949
Nd 0.676 0.927 0.051
Nd 0.927 0.676 0.551
Y 0.128 0.872 0.750
Y 0.369 0.631 0.250
Y 0.631 0.369 0.750
Y 0.872 0.128 0.250
Mg 0.026 0.782 0.154
Mg 0.165 0.455 0.061
Mg 0.218 0.974 0.346
Mg 0.279 0.505 0.644
Mg 0.455 0.165 0.561
Mg 0.495 0.721 0.856
Mg 0.505 0.279 0.144
Mg 0.545 0.835 0.439
Mg 0.721 0.495 0.356
Mg 0.782 0.026 0.654
Mg 0.835 0.545 0.939
Mg 0.974 0.218 0.846